No. 1
Entry from Alexandria via LeMat-Bulk: a relaxed Zr2AgOs crystal (GGA-PBE).

a = 4.0230 Å, b = 4.0230 Å, c = 7.3095 Å
α = 97.18°, β = 97.18°, γ = 45.96°
Positions (direct):
Zr1 0.2473 0.2473 0.2128
Zr2 0.7527 0.7527 0.7872
Ag1 0.0000 0.0000 0.5000
Os1 0.5000 0.5000 0.0000

- V (Å³/cell) = 84.3
- space-group type = No. 12
- total moment (μB per formula unit) = 0.00
- N(E_F) (states/eV per cell) = 2.43
- ΔE_f (eV/atom) = 0.0526


No. 2
Entry from Alexandria via LeMat-Bulk: a relaxed ZrAg3Os crystal (GGA-PBE).

a = 5.1016 Å, b = 5.1016 Å, c = 5.1016 Å
α = 90.00°, β = 90.00°, γ = 90.00°
Positions (direct):
Zr1 0.0000 0.0000 0.0000
Ag1 0.0000 0.0000 0.5000
Ag2 0.0000 0.5000 0.0000
Ag3 0.5000 0.0000 0.0000
Os1 0.5000 0.5000 0.5000

- V (Å³/cell) = 132.8
- space-group type = No. 221
- distance to the lowest polymorph of the same formula (eV/atom) = 0.7509
- total moment (μB per formula unit) = 3.59
- N(E_F) (states/eV per cell) = 5.52
- ΔE_f (eV/atom) = 2.2395


No. 3
Entry from Alexandria via LeMat-Bulk: a relaxed ZrAgOs2 crystal (GGA-PBE).

a = 2.8630 Å, b = 2.8630 Å, c = 8.2563 Å
α = 90.00°, β = 90.00°, γ = 90.00°
Positions (direct):
Zr1 0.0000 0.0000 0.0000
Ag1 0.0000 0.0000 0.5000
Os1 0.5000 0.5000 0.2496
Os2 0.5000 0.5000 0.7504

- V (Å³/cell) = 67.7
- space-group type = No. 123
- distance to the lowest polymorph of the same formula (eV/atom) = 0.3731
- total moment (μB per formula unit) = 0.00
- N(E_F) (states/eV per cell) = 5.12
- ΔE_f (eV/atom) = 0.5081


No. 4
Entry from Alexandria via LeMat-Bulk: a relaxed ZrAgOs2 crystal (GGA-PBE).

a = 2.7766 Å, b = 4.7197 Å, c = 5.1040 Å
α = 90.00°, β = 94.12°, γ = 90.00°
Positions (direct):
Zr1 0.0000 0.0000 0.0000
Ag1 0.5000 0.0000 0.5000
Os1 0.2785 0.5000 0.7332
Os2 0.7215 0.5000 0.2668

- V (Å³/cell) = 66.7
- space-group type = No. 10
- distance to the lowest polymorph of the same formula (eV/atom) = 0.1893
- total moment (μB per formula unit) = 0.00
- N(E_F) (states/eV per cell) = 3.35
- ΔE_f (eV/atom) = 0.3243


No. 5
Entry from Alexandria via LeMat-Bulk: a relaxed ZrAgOs2 crystal (GGA-PBE).

a = 2.8475 Å, b = 2.8475 Å, c = 8.4119 Å
α = 90.00°, β = 90.00°, γ = 90.00°
Positions (direct):
Zr1 0.0000 0.0000 0.0000
Ag1 0.5000 0.5000 0.2812
Os1 0.0000 0.0000 0.5408
Os2 0.5000 0.5000 0.7366

- V (Å³/cell) = 68.2
- space-group type = No. 99
- distance to the lowest polymorph of the same formula (eV/atom) = 0.0129
- total moment (μB per formula unit) = 0.01
- N(E_F) (states/eV per cell) = 4.26
- ΔE_f (eV/atom) = 0.1480


No. 6
Entry from Alexandria via LeMat-Bulk: a relaxed Zr2AgOs crystal (GGA-PBE).

a = 2.9520 Å, b = 2.9520 Å, c = 9.5491 Å
α = 90.00°, β = 90.00°, γ = 111.27°
Positions (direct):
Zr1 0.0000 0.0000 0.0000
Zr2 0.5000 0.5000 0.2855
Ag1 0.5000 0.5000 0.7401
Os1 0.0000 0.0000 0.4967

- V (Å³/cell) = 77.5
- space-group type = No. 35
- total moment (μB per formula unit) = 0.00
- N(E_F) (states/eV per cell) = 3.16
- ΔE_f (eV/atom) = 0.2125


No. 7
Entry from Alexandria via LeMat-Bulk: a relaxed ZrAgOs2 crystal (GGA-PBE).

a = 4.0458 Å, b = 4.0458 Å, c = 4.0176 Å
α = 90.00°, β = 90.00°, γ = 90.00°
Positions (direct):
Zr1 0.0000 0.0000 0.0000
Ag1 0.5000 0.5000 0.0000
Os1 0.0000 0.5000 0.5000
Os2 0.5000 0.0000 0.5000

- V (Å³/cell) = 65.8
- space-group type = No. 123
- distance to the lowest polymorph of the same formula (eV/atom) = 0.0332
- total moment (μB per formula unit) = 0.00
- N(E_F) (states/eV per cell) = 4.17
- ΔE_f (eV/atom) = 0.1682


No. 8
Entry from Alexandria via LeMat-Bulk: a relaxed Zr4AgOs crystal (GGA-PBE).

a = 5.5721 Å, b = 5.5721 Å, c = 5.5721 Å
α = 60.00°, β = 60.00°, γ = 60.00°
Positions (direct):
Zr1 0.3769 0.3769 0.3769
Zr2 0.3769 0.3769 0.8694
Zr3 0.3769 0.8694 0.3769
Zr4 0.8694 0.3769 0.3769
Ag1 0.0000 0.0000 0.0000
Os1 0.7500 0.7500 0.7500

- V (Å³/cell) = 122.3
- space-group type = No. 216
- distance to the lowest polymorph of the same formula (eV/atom) = 0.7756
- total moment (μB per formula unit) = 0.00
- N(E_F) (states/eV per cell) = 6.94
- ΔE_f (eV/atom) = 0.5534